A plane-wave DFT calculation with GGA-PBE was carried out for a relaxed structure of Tl2CdOs.

Output
- Density of states at the Fermi level: 1.5 states/eV/f.u.
- Symmetry: R-3m, No. 166
- Relative energy among the computed polymorphs: 140 meV/atom

Cell lengths 11.790, 11.790, 11.790 Å; angles 14.89, 14.89, 14.89 degrees
Positions (direct):
Os 0.750 0.750 0.750
Tl 0.485 0.485 0.485
Tl 0.015 0.015 0.015
Cd 0.250 0.250 0.250